The following is a DFT calculation (PBE-GGA) of a relaxed PuPdRh crystal.

```
PuPdRh
1.0
2.415 -4.053 0.000
2.415 4.053 0.000
0.000 0.000 5.689
Pu Pd Rh
2 2 2
Direct
0.163 0.837 0.750
0.837 0.163 0.250
0.500 0.500 0.000
0.500 0.500 0.500
0.176 0.824 0.250
0.824 0.176 0.750
```

M_tot (μB/f.u.): 4.9
SG: Cmcm (63)
Formation energy (meV/atom): -452
ΔE to the lowest computed polymorph (meV/atom): 0
Volume (A^3/atom): 18.56
DOS at the Fermi energy (states/eV per cell): 19.53


The following is a DFT calculation (PBE-GGA) of a relaxed Pu4PdRh3 crystal.

```
Pu4PdRh3
1.0
4.856 0.000 0.000
0.000 4.856 0.000
0.000 0.000 6.939
Pu Pd Rh
4 1 3
Direct
0.000 0.500 0.245
0.000 0.500 0.755
0.500 0.000 0.245
0.500 0.000 0.755
0.000 0.000 0.500
0.000 0.000 0.000
0.500 0.500 0.000
0.500 0.500 0.500
```

M_tot (μB/f.u.): 20.2
SG: P4/mmm (123)
Formation energy (meV/atom): -421
Volume (A^3/atom): 20.45
DOS at the Fermi energy (states/eV per cell): 31.57


The following is a DFT calculation (PBE-GGA) of a relaxed PuPd2Rh crystal.

```
PuPd2Rh
1.0
4.016 0.000 0.000
0.000 4.016 0.000
0.000 0.000 4.287
Pu Pd Rh
1 2 1
Direct
0.000 0.000 0.000
0.000 0.500 0.500
0.500 0.000 0.500
0.500 0.500 0.000
```

M_tot (μB/f.u.): 3.8
SG: P4/mmm (123)
Formation energy (meV/atom): -490
ΔE to the lowest computed polymorph (meV/atom): 0
Volume (A^3/atom): 17.29
DOS at the Fermi energy (states/eV per cell): 13.07


The following is a DFT calculation (PBE-GGA) of a relaxed Pu4Pd3Rh2 crystal.

```
Pu4Pd3Rh2
1.0
4.170 -2.369 0.000
4.170 2.369 0.000
-0.161 0.000 9.162
Pu Pd Rh
4 3 2
Direct
0.001 0.001 0.337
0.334 0.334 0.131
0.666 0.666 0.869
0.999 0.999 0.663
0.000 0.000 0.000
0.334 0.334 0.493
0.666 0.666 0.507
0.334 0.334 0.804
0.666 0.666 0.196
```

M_tot (μB/f.u.): 20.9
SG: C2/m (12)
Formation energy (meV/atom): -406
Volume (A^3/atom): 20.11
DOS at the Fermi energy (states/eV per cell): 31.97


The following is a DFT calculation (PBE-GGA) of a relaxed Pu8PdRh4 crystal.

```
Pu8PdRh4
1.0
-5.006 5.006 2.904
5.006 -5.006 2.904
5.006 5.006 -2.904
Pu Pd Rh
8 1 4
Direct
0.000 0.194 0.194
0.000 0.806 0.806
0.192 0.500 0.692
0.194 0.000 0.194
0.500 0.192 0.692
0.500 0.808 0.308
0.806 0.000 0.806
0.808 0.500 0.308
0.500 0.500 0.000
0.000 0.000 0.500
0.000 0.500 0.000
0.500 0.000 0.000
0.500 0.500 0.500
```

M_tot (μB/f.u.): 43.7
SG: I4/mmm (139)
Formation energy (meV/atom): -138
Volume (A^3/atom): 22.39
DOS at the Fermi energy (states/eV per cell): 53.28


The following is a DFT calculation (PBE-GGA) of a relaxed Pu6PdRh3 crystal.

```
Pu6PdRh3
1.0
5.966 0.000 0.000
-2.983 5.167 0.000
0.000 0.000 12.231
Pu Pd Rh
12 2 6
Direct
0.139 0.365 0.342
0.139 0.774 0.158
0.226 0.365 0.158
0.226 0.861 0.342
0.365 0.139 0.658
0.365 0.226 0.842
0.635 0.774 0.342
0.635 0.861 0.158
0.774 0.139 0.842
0.774 0.635 0.658
0.861 0.226 0.658
0.861 0.635 0.842
0.333 0.667 0.750
0.667 0.333 0.250
0.000 0.000 0.000
0.000 0.000 0.500
0.333 0.667 0.534
0.333 0.667 0.966
0.667 0.333 0.034
0.667 0.333 0.466
```

M_tot (μB/f.u.): 9.2
SG: P6_322 (182)
Formation energy (meV/atom): 237
Volume (A^3/atom): 18.85
DOS at the Fermi energy (states/eV per cell): 48.18


The following is a DFT calculation (PBE-GGA) of a relaxed Pu4PdRh crystal.

```
Pu4PdRh
1.0
7.083 0.000 0.000
0.000 7.083 0.000
0.000 0.000 5.741
Pu Pd Rh
8 2 2
Direct
0.158 0.331 0.000
0.158 0.669 0.500
0.331 0.158 0.500
0.331 0.842 0.000
0.669 0.158 0.000
0.669 0.842 0.500
0.842 0.331 0.500
0.842 0.669 0.000
0.500 0.500 0.250
0.500 0.500 0.750
0.000 0.000 0.250
0.000 0.000 0.750
```

M_tot (μB/f.u.): 23.8
SG: P4/mcc (124)
Formation energy (meV/atom): -212
Volume (A^3/atom): 24.00
DOS at the Fermi energy (states/eV per cell): 58.13


The following is a DFT calculation (PBE-GGA) of a relaxed Pu4Pd2Rh crystal.

```
Pu4Pd2Rh
1.0
-4.295 4.295 4.384
4.295 -4.295 4.384
4.295 4.295 -4.384
Pu Pd Rh
8 4 2
Direct
0.115 0.227 0.745
0.120 0.732 0.755
0.268 0.023 0.387
0.482 0.370 0.255
0.630 0.885 0.113
0.635 0.880 0.613
0.773 0.518 0.887
0.977 0.365 0.245
0.258 0.625 0.133
0.375 0.508 0.633
0.492 0.125 0.867
0.875 0.742 0.367
0.000 0.000 0.000
0.750 0.250 0.500
```

M_tot (μB/f.u.): 21.9
SG: I-42d (122)
Formation energy (meV/atom): -336
ΔE to the lowest computed polymorph (meV/atom): 0
Volume (A^3/atom): 23.11
DOS at the Fermi energy (states/eV per cell): 67.24